# K2SrZr

Crystalline K2SrZr at its relaxed geometry (PBE-GGA, Alexandria via LeMat-Bulk).

POSCAR file:
```
K2SrZr
1.0
6.430 0.000 0.000
3.215 5.569 0.000
3.215 1.856 5.250
K Zr Sr
2 1 1
Direct
0.250 0.250 0.250 K
0.000 0.000 0.000 K
0.750 0.750 0.750 Zr
0.500 0.500 0.500 Sr
```

- crystal system = cubic
- distance to the lowest polymorph of the same formula (meV per atom) = 303.8
- energy of formation from the pure elements (meV/atom) = 866.6
- VASP energy (eV per atom) = -2.240
- space-group type = F-43m